Entry from the Alexandria database: a geometry-optimized PmDy2Ga2 structure (PBE).

As for the symmetry: No. 12. The value obtained for the volume is 134.9 Å³/cell. The excess energy over the best structure of this formula in the dataset is 100 meV per atom. The calculation puts the formation energy from the elements at -0.38 eV/atom.

a = 3.7695 Å, b = 5.8553 Å, c = 6.5455 Å
α = 102.27°, β = 106.73°, γ = 90.00°
Element x y z (fractional)
Pm  0.0000  0.0000  0.0000
Dy  0.3619  0.4310  0.7237
Dy  0.6381  0.5690  0.2763
Ga  0.7064  0.1121  0.4128
Ga  0.2936  0.8879  0.5872